Model a:
Material: Ac4PrNd5
Method: DFT, PBE
State: optimized geometry

a b c (Å): 17.718 3.777 12.152
angles (deg): 90.00 90.01 90.00
Space group C2/m (No. 12)
Symmetry-distinct sites (fractional):
Ac 0.033 0.000 0.251 (multiplicity 4)
Ac 0.166 0.500 0.750 (multiplicity 4)
Pr 0.000 0.500 0.000 (multiplicity 2)
Nd 0.000 0.500 0.500 (multiplicity 2)
Nd 0.171 0.000 0.462 (multiplicity 4)
Nd 0.172 0.000 0.039 (multiplicity 4)

Summary:
Spin magnetization ... 0.000 μB/atom



Model b:
Material: Ac4PrNd5
Method: DFT, PBE
State: optimized geometry

a b c (Å): 3.862 3.862 26.208
angles (deg): 90.00 90.00 90.00
Space group P4/mmm (No. 123)
Symmetry-distinct sites (fractional):
Ac 0.000 0.000 0.101 (multiplicity 2)
Ac 0.000 0.000 0.304 (multiplicity 2)
Pr 0.000 0.000 0.500 (multiplicity 1)
Nd 0.500 0.500 0.000 (multiplicity 1)
Nd 0.500 0.500 0.202 (multiplicity 2)
Nd 0.500 0.500 0.405 (multiplicity 2)

Summary:
Spin magnetization ... 0.000 μB/atom



In kJ/mol of atoms, relative to the most stable structure: model a 14.4; model b 0.0.